Entry from the Open Quantum Materials Database: an optimized crystal structure of NdDy2Tm3Te2Os (GGA-PBE).

Geometry as CIF:
```
data_NdDy2Tm3Te2Os
_chemical_formula_sum 'Nd2 Dy4 Tm6 Te4 Os2'
_symmetry_space_group_name_H-M 'A m m 2'
_symmetry_Int_Tables_number 38
_cell_length_a 4.071
_cell_length_b 14.225
_cell_length_c 8.347
_cell_angle_alpha 90.00
_cell_angle_beta 90.00
_cell_angle_gamma 90.00
loop_
_symmetry_equiv_pos_as_xyz
'x,y,z'
'-x,-y,z'
'-x,y,z'
'x,-y,z'
'x,y+1/2,z+1/2'
'-x,-y+1/2,z+1/2'
'-x,y+1/2,z+1/2'
'x,-y+1/2,z+1/2'
loop_
_atom_site_label
_atom_site_type_symbol
_atom_site_fract_x
_atom_site_fract_y
_atom_site_fract_z
_atom_site_occupancy
Nd1 Nd 0.000 0.000 0.000 1
Dy1 Dy 0.000 0.193 0.595 1
Tm1 Tm 0.500 0.000 0.643 1
Tm2 Tm 0.500 0.115 0.283 1
Te1 Te 0.500 0.170 0.900 1
Os1 Os 0.000 0.000 0.420 1
```


Entry from the Open Quantum Materials Database: an optimized crystal structure of Nd2DyP3 (GGA-PBE).

Geometry as CIF:
```
data_Nd2DyP3
_chemical_formula_sum 'Nd2 Dy1 P3'
_symmetry_space_group_name_H-M 'P -3 m 1'
_symmetry_Int_Tables_number 164
_symmetry_space_group_name_Hall '-P 3 2"'
_cell_length_a 4.1141
_cell_length_b 4.1141
_cell_length_c 10.0687
_cell_angle_alpha 90.00
_cell_angle_beta 90.00
_cell_angle_gamma 120.00
loop_
_atom_site_label
_atom_site_type_symbol
_atom_site_fract_x
_atom_site_fract_y
_atom_site_fract_z
_atom_site_occupancy
Nd1 Nd 0.3333 0.6667 0.3294 1
Dy1 Dy 0.0000 0.0000 0.0000 1
P1 P 0.0000 0.0000 0.5000 1
P2 P 0.3333 0.6667 0.8416 1
```


Entry from the Open Quantum Materials Database: an optimized crystal structure of NdDyPb2 (GGA-PBE).

Geometry as CIF:
```
data_NdDyPb2
_chemical_formula_sum 'Nd2 Dy2 Pb4'
_symmetry_space_group_name_H-M 'A m m 2'
_symmetry_Int_Tables_number 38
_cell_length_a 4.479
_cell_length_b 4.599
_cell_length_c 11.822
_cell_angle_alpha 90.00
_cell_angle_beta 90.00
_cell_angle_gamma 90.00
loop_
_symmetry_equiv_pos_as_xyz
'x,y,z'
'-x,-y,z'
'-x,y,z'
'x,-y,z'
'x,y+1/2,z+1/2'
'-x,-y+1/2,z+1/2'
'-x,y+1/2,z+1/2'
'x,-y+1/2,z+1/2'
loop_
_atom_site_label
_atom_site_type_symbol
_atom_site_fract_x
_atom_site_fract_y
_atom_site_fract_z
_atom_site_occupancy
Nd1 Nd 0.000 0.000 0.000 1
Dy1 Dy 0.500 0.000 0.738 1
Pb1 Pb 0.000 0.000 0.270 1
Pb2 Pb 0.500 0.000 0.468 1
```


Entry from the Open Quantum Materials Database: an optimized crystal structure of NdDyPd4Pb2 (GGA-PBE).

Geometry as CIF:
```
data_NdDyPd4Pb2
_chemical_formula_sum 'Nd1 Dy1 Pd4 Pb2'
_symmetry_space_group_name_H-M 'P -6 m 2'
_symmetry_Int_Tables_number 187
_symmetry_space_group_name_Hall 'P -6 2'
_cell_length_a 4.7053
_cell_length_b 4.7053
_cell_length_c 8.9930
_cell_angle_alpha 90.00
_cell_angle_beta 90.00
_cell_angle_gamma 120.00
loop_
_atom_site_label
_atom_site_type_symbol
_atom_site_fract_x
_atom_site_fract_y
_atom_site_fract_z
_atom_site_occupancy
Nd1 Nd 0.0000 0.0000 0.0000 1
Dy1 Dy 0.3333 0.6667 0.5000 1
Pd1 Pd 0.0000 0.0000 0.3430 1
Pd2 Pd 0.3333 0.6667 0.1641 1
Pb1 Pb 0.6667 0.3333 0.2574 1
```


Entry from the Open Quantum Materials Database: an optimized crystal structure of Nd2DyPd2PtPb3 (GGA-PBE).

Geometry as CIF:
```
data_Nd2DyPd2PtPb3
_chemical_formula_sum 'Nd4 Dy2 Pd4 Pt2 Pb6'
_symmetry_space_group_name_H-M 'A m m 2'
_symmetry_Int_Tables_number 38
_cell_length_a 4.060
_cell_length_b 13.528
_cell_length_c 7.842
_cell_angle_alpha 90.00
_cell_angle_beta 90.00
_cell_angle_gamma 90.00
loop_
_symmetry_equiv_pos_as_xyz
'x,y,z'
'-x,-y,z'
'-x,y,z'
'x,-y,z'
'x,y+1/2,z+1/2'
'-x,-y+1/2,z+1/2'
'-x,y+1/2,z+1/2'
'x,-y+1/2,z+1/2'
loop_
_atom_site_label
_atom_site_type_symbol
_atom_site_fract_x
_atom_site_fract_y
_atom_site_fract_z
_atom_site_occupancy
Nd1 Nd 0.000 0.201 0.000 1
Dy1 Dy 0.000 0.000 0.400 1
Pd1 Pd 0.500 0.163 0.301 1
Pt1 Pt 0.000 0.000 0.794 1
Pb1 Pb 0.500 0.000 0.062 1
Pb2 Pb 0.500 0.131 0.666 1
```


Entry from the Open Quantum Materials Database: an optimized crystal structure of Nd2DyPdPt2Pb3 (GGA-PBE).

Geometry as CIF:
```
data_Nd2DyPdPt2Pb3
_chemical_formula_sum 'Nd4 Dy2 Pd2 Pt4 Pb6'
_symmetry_space_group_name_H-M 'A m m 2'
_symmetry_Int_Tables_number 38
_cell_length_a 4.083
_cell_length_b 13.465
_cell_length_c 7.809
_cell_angle_alpha 90.00
_cell_angle_beta 90.00
_cell_angle_gamma 90.00
loop_
_symmetry_equiv_pos_as_xyz
'x,y,z'
'-x,-y,z'
'-x,y,z'
'x,-y,z'
'x,y+1/2,z+1/2'
'-x,-y+1/2,z+1/2'
'-x,y+1/2,z+1/2'
'x,-y+1/2,z+1/2'
loop_
_atom_site_label
_atom_site_type_symbol
_atom_site_fract_x
_atom_site_fract_y
_atom_site_fract_z
_atom_site_occupancy
Nd1 Nd 0.000 0.205 0.000 1
Dy1 Dy 0.000 0.000 0.616 1
Pd1 Pd 0.000 0.000 0.211 1
Pt1 Pt 0.500 0.162 0.703 1
Pb1 Pb 0.500 0.000 0.949 1
Pb2 Pb 0.500 0.128 0.335 1
```


no.,electronic total energy (eV per atom),spin magnetization (μB/cell)
1,-5.740,0.05
2,-6.618,0.00
3,-4.711,0.01
4,-5.363,0.00
5,-5.374,0.01
6,-5.539,0.01